No. 1
First-principles (SCAN) data for a PBEsol-optimized structure of LiLa2Tl, as listed in the Alexandria database.

## Properties
V (Å³/cell): 223
Energy (eV per atom): -40.5445
ρ (g/cm3): 7.3
Space group: No. 119

Unit cell a=4.659 b=4.659 c=10.262 alpha=90.00 beta=90.00 gamma=90.00
Positions (direct):
Li  0.000  0.000  0.000
Li  0.500  0.500  0.500
La  0.000  0.000  0.500
La  0.000  0.500  0.750
La  0.500  0.000  0.250
La  0.500  0.500  0.000
Tl  0.000  0.500  0.250
Tl  0.500  0.000  0.750

---

No. 2
First-principles (SCAN) data for a PBEsol-optimized structure of PIr2Pb, as listed in the Alexandria database.

## Properties
V (Å³/cell): 71
E above lowest polymorph (eV/atom): 0.000
ρ (g/cm3): 14.5
Space group: No. 10

Unit cell a=4.503 b=3.602 c=4.542 alpha=90.00 beta=104.55 gamma=90.00
Positions (direct):
P  0.000  0.000  0.000
Ir  0.194  0.500  0.805
Ir  0.806  0.500  0.195
Pb  0.500  0.000  0.500

---

No. 3
First-principles (SCAN) data for a PBEsol-optimized structure of BaBOs3, as listed in the Alexandria database.

## Properties
V (Å³/cell): 127
E above lowest polymorph (eV/atom): 3.843
ρ (g/cm3): 9.4
Space group: No. 221

Unit cell a=5.024 b=5.024 c=5.024 alpha=90.00 beta=90.00 gamma=90.00
Positions (direct):
Ba  0.000  0.000  0.000
B  0.500  0.500  0.500
Os  0.000  0.000  0.500
Os  0.000  0.500  0.000
Os  0.500  0.000  0.000

---

No. 4
First-principles (SCAN) data for a PBEsol-optimized structure of Tl2AgP, as listed in the Alexandria database.

## Properties
V (Å³/cell): 275
E above lowest polymorph (eV/atom): 0.191
ρ (g/cm3): 9.9
Space group: No. 166

Unit cell a=3.975 b=3.975 c=20.072 alpha=90.00 beta=90.00 gamma=120.00
Positions (direct):
Tl  0.000  0.000  0.244
Tl  0.000  0.000  0.756
Tl  0.333  0.667  0.423
Tl  0.333  0.667  0.911
Tl  0.667  0.333  0.089
Tl  0.667  0.333  0.577
Ag  0.000  0.000  0.000
Ag  0.333  0.667  0.667
Ag  0.667  0.333  0.333
P  0.000  0.000  0.500
P  0.333  0.667  0.167
P  0.667  0.333  0.833

---

No. 5
First-principles (SCAN) data for a PBEsol-optimized structure of MgAl2RhW, as listed in the Alexandria database.

## Properties
V (Å³/cell): 101
Energy (eV per atom): -24.2905
ρ (g/cm3): 6.0
Space group: No. 123

Unit cell a=4.573 b=4.573 c=4.835 alpha=90.00 beta=90.00 gamma=90.00
Positions (direct):
Mg  0.000  0.000  0.000
Al  0.000  0.500  0.500
Al  0.500  0.000  0.500
Rh  0.500  0.500  0.500
W  0.500  0.500  0.000

---

No. 6
First-principles (SCAN) data for a PBEsol-optimized structure of YMn3Ge, as listed in the Alexandria database.

## Properties
V (Å³/cell): 92
Energy (eV per atom): -20.2334
ρ (g/cm3): 5.9
Space group: No. 221

Unit cell a=4.518 b=4.518 c=4.518 alpha=90.00 beta=90.00 gamma=90.00
Positions (direct):
Y  0.000  0.000  0.000
Mn  0.000  0.500  0.500
Mn  0.500  0.000  0.500
Mn  0.500  0.500  0.000
Ge  0.500  0.500  0.500